(1)
# TaHg2SbAu | the Alexandria database | PBE | optimized geometry
# E_form (uncorrected): 6.23 eV/f.u.
data_TaHg2SbAu
_chemical_formula_sum 'Ta1 Hg2 Sb1 Au1'
_cell_length_a 5.507
_cell_length_b 5.507
_cell_length_c 5.403
_cell_angle_alpha 90.00
_cell_angle_beta 90.00
_cell_angle_gamma 90.00
_symmetry_space_group_name_H-M 'P 4/m m m'
_symmetry_Int_Tables_number 123
_symmetry_space_group_name_Hall '-P 4 2'
loop_
_atom_site_label
_atom_site_fract_x
_atom_site_fract_y
_atom_site_fract_z
Ta1 0.000 0.000 0.000
Hg1 0.000 0.500 0.500
Sb1 0.000 0.000 0.500
Au1 0.500 0.500 0.000



(2)
# TbHgSbAu | the Alexandria database | PBE | optimized geometry
# E_form (uncorrected): -1.69 eV/f.u.
data_TbHgSbAu
_chemical_formula_sum 'Tb4 Hg4 Sb4 Au4'
_cell_length_a 7.264
_cell_length_b 7.264
_cell_length_c 7.264
_cell_angle_alpha 90.00
_cell_angle_beta 90.00
_cell_angle_gamma 90.00
_symmetry_space_group_name_H-M 'F -4 3 m'
_symmetry_Int_Tables_number 216
_symmetry_space_group_name_Hall 'F -4 2 3'
loop_
_atom_site_label
_atom_site_fract_x
_atom_site_fract_y
_atom_site_fract_z
Tb1 0.000 0.000 0.000
Hg1 0.250 0.250 0.250
Sb1 0.000 0.000 0.500
Au1 0.250 0.250 0.750



(3)
# HgSbTe2Au | the Alexandria database | PBE | optimized geometry
# E_form (uncorrected): 2.47 eV/f.u.
# Energy above the lowest structure with this stoichiometry: 0.0 kJ per mole of atoms
data_HgSbTe2Au
_chemical_formula_sum 'Hg1 Sb1 Te2 Au1'
_cell_length_a 5.562
_cell_length_b 5.562
_cell_length_c 5.393
_cell_angle_alpha 90.00
_cell_angle_beta 90.00
_cell_angle_gamma 90.00
_symmetry_space_group_name_H-M 'P 4/m m m'
_symmetry_Int_Tables_number 123
_symmetry_space_group_name_Hall '-P 4 2'
loop_
_atom_site_label
_atom_site_fract_x
_atom_site_fract_y
_atom_site_fract_z
Hg1 0.000 0.000 0.000
Sb1 0.500 0.500 0.000
Te1 0.000 0.500 0.500
Au1 0.500 0.500 0.500



(4)
# TlHgSbAu2 | the Alexandria database | PBE | optimized geometry
# E_form (uncorrected): -0.09 eV/f.u.
data_TlHgSbAu2
_chemical_formula_sum 'Tl4 Hg4 Sb4 Au8'
_cell_length_a 15.004
_cell_length_b 4.679
_cell_length_c 10.309
_cell_angle_alpha 90.00
_cell_angle_beta 127.75
_cell_angle_gamma 90.00
_symmetry_space_group_name_H-M 'C 1 2/m 1'
_symmetry_Int_Tables_number 12
_symmetry_space_group_name_Hall '-C 2y'
loop_
_atom_site_label
_atom_site_fract_x
_atom_site_fract_y
_atom_site_fract_z
Tl1 0.036 0.000 0.192
Hg1 0.248 0.000 0.645
Sb1 0.127 0.500 0.729
Au1 0.102 0.500 0.433
Au2 0.210 0.000 0.904



(5)
# Tl4Hg2SbAu2 | the Alexandria database | PBE | optimized geometry
# E_form (uncorrected): 0.00 eV/f.u.
data_Tl4Hg2SbAu2
_chemical_formula_sum 'Tl4 Hg2 Sb1 Au2'
_cell_length_a 5.923
_cell_length_b 6.935
_cell_length_c 7.131
_cell_angle_alpha 114.17
_cell_angle_beta 95.99
_cell_angle_gamma 102.54
_symmetry_space_group_name_H-M 'P -1'
_symmetry_Int_Tables_number 2
_symmetry_space_group_name_Hall '-P 1'
loop_
_atom_site_label
_atom_site_fract_x
_atom_site_fract_y
_atom_site_fract_z
Tl1 0.095 0.077 0.275
Tl2 0.215 0.502 0.865
Hg1 0.281 0.595 0.442
Sb1 0.500 0.000 0.000
Au1 0.392 0.112 0.668



(6)
# Tl4Hg2SbAu | the Alexandria database | PBE | optimized geometry
# E_form (uncorrected): -0.01 eV/f.u.
data_Tl4Hg2SbAu
_chemical_formula_sum 'Tl4 Hg2 Sb1 Au1'
_cell_length_a 7.342
_cell_length_b 4.836
_cell_length_c 7.850
_cell_angle_alpha 90.00
_cell_angle_beta 113.97
_cell_angle_gamma 90.00
_symmetry_space_group_name_H-M 'P 1 2/m 1'
_symmetry_Int_Tables_number 10
_symmetry_space_group_name_Hall '-P 2y'
loop_
_atom_site_label
_atom_site_fract_x
_atom_site_fract_y
_atom_site_fract_z
Tl1 0.231 0.000 0.220
Tl2 0.244 0.500 0.775
Hg1 0.000 0.000 0.500
Hg2 0.500 0.500 0.500
Sb1 0.500 0.000 0.000
Au1 0.000 0.500 0.000



(7)
# Hg2SbWAu | the Alexandria database | PBE | optimized geometry
# E_form (uncorrected): 7.73 eV/f.u.
data_Hg2SbWAu
_chemical_formula_sum 'Hg2 Sb1 W1 Au1'
_cell_length_a 5.595
_cell_length_b 5.595
_cell_length_c 5.181
_cell_angle_alpha 90.00
_cell_angle_beta 90.00
_cell_angle_gamma 90.00
_symmetry_space_group_name_H-M 'P 4/m m m'
_symmetry_Int_Tables_number 123
_symmetry_space_group_name_Hall '-P 4 2'
loop_
_atom_site_label
_atom_site_fract_x
_atom_site_fract_y
_atom_site_fract_z
Hg1 0.000 0.500 0.000
Sb1 0.000 0.000 0.000
W1 0.500 0.500 0.500
Au1 0.000 0.000 0.500



(8)
# HgSb2WAu | the Alexandria database | PBE | optimized geometry
# E_form (uncorrected): 3.64 eV/f.u.
data_HgSb2WAu
_chemical_formula_sum 'Hg1 Sb2 W1 Au1'
_cell_length_a 5.180
_cell_length_b 5.180
_cell_length_c 5.379
_cell_angle_alpha 90.00
_cell_angle_beta 90.00
_cell_angle_gamma 90.00
_symmetry_space_group_name_H-M 'P 4/m m m'
_symmetry_Int_Tables_number 123
_symmetry_space_group_name_Hall '-P 4 2'
loop_
_atom_site_label
_atom_site_fract_x
_atom_site_fract_y
_atom_site_fract_z
Hg1 0.000 0.000 0.000
Sb1 0.000 0.500 0.500
W1 0.000 0.000 0.500
Au1 0.500 0.500 0.000



(9)
Sc2HgAu | PBE | optimized geometry

Geometry as CIF:
```
data_Sc2HgAu
_chemical_formula_sum 'Sc4 Hg2 Au2'
_cell_length_a 10.325
_cell_length_b 3.458
_cell_length_c 4.887
_cell_angle_alpha 90.00
_cell_angle_beta 104.23
_cell_angle_gamma 90.00
_symmetry_space_group_name_H-M 'C 1 m 1'
_symmetry_Int_Tables_number 8
_symmetry_space_group_name_Hall 'C -2y'
loop_
_atom_site_label
_atom_site_fract_x
_atom_site_fract_y
_atom_site_fract_z
Sc1 0.000 0.000 0.000
Sc2 0.230 0.000 0.660
Hg1 0.479 0.000 0.484
Au1 0.237 0.500 0.153
```



(10)
Sc2HgAu | PBE | optimized geometry

Geometry as CIF:
```
data_Sc2HgAu
_chemical_formula_sum 'Sc4 Hg2 Au2'
_cell_length_a 4.905
_cell_length_b 3.425
_cell_length_c 9.875
_cell_angle_alpha 90.00
_cell_angle_beta 90.00
_cell_angle_gamma 90.00
_symmetry_space_group_name_H-M 'P m m a'
_symmetry_Int_Tables_number 51
_symmetry_space_group_name_Hall '-P 2a 2a'
loop_
_atom_site_label
_atom_site_fract_x
_atom_site_fract_y
_atom_site_fract_z
Sc1 0.250 0.000 0.122
Sc2 0.250 0.000 0.643
Hg1 0.250 0.500 0.389
Au1 0.250 0.500 0.885
```



(11)
Sc2HgAu | PBE | optimized geometry

Geometry as CIF:
```
data_Sc2HgAu
_chemical_formula_sum 'Sc2 Hg1 Au1'
_cell_length_a 3.679
_cell_length_b 3.679
_cell_length_c 6.292
_cell_angle_alpha 90.00
_cell_angle_beta 90.00
_cell_angle_gamma 90.00
_symmetry_space_group_name_H-M 'P 4 m m'
_symmetry_Int_Tables_number 99
_symmetry_space_group_name_Hall 'P 4 -2'
loop_
_atom_site_label
_atom_site_fract_x
_atom_site_fract_y
_atom_site_fract_z
Sc1 0.000 0.000 0.000
Sc2 0.500 0.500 0.310
Hg1 0.500 0.500 0.784
Au1 0.000 0.000 0.503
```



(12)
ScHgAu | PBE | optimized geometry

Geometry as CIF:
```
data_ScHgAu
_chemical_formula_sum 'Sc1 Hg1 Au1'
_cell_length_a 4.7549
_cell_length_b 4.7549
_cell_length_c 3.1453
_cell_angle_alpha 90.00
_cell_angle_beta 90.00
_cell_angle_gamma 120.00
_symmetry_space_group_name_H-M 'P -6 m 2'
_symmetry_Int_Tables_number 187
_symmetry_space_group_name_Hall 'P -6 2'
loop_
_atom_site_label
_atom_site_fract_x
_atom_site_fract_y
_atom_site_fract_z
Sc1 0.0000 0.0000 0.0000
Hg1 0.3333 0.6667 0.5000
Au1 0.6667 0.3333 0.5000
```



(13)
# Sc3HgAu | the Alexandria database | PBE | optimized geometry
# Energy above the lowest structure with this stoichiometry: 0.0 kJ per mole of atoms
data_Sc3HgAu
_chemical_formula_sum 'Sc3 Hg1 Au1'
_cell_length_a 5.178
_cell_length_b 5.178
_cell_length_c 5.178
_cell_angle_alpha 90.00
_cell_angle_beta 90.00
_cell_angle_gamma 90.00
_symmetry_space_group_name_H-M 'P m -3 m'
_symmetry_Int_Tables_number 221
_symmetry_space_group_name_Hall '-P 4 2 3'
loop_
_atom_site_label
_atom_site_fract_x
_atom_site_fract_y
_atom_site_fract_z
Sc1 0.000 0.000 0.500
Hg1 0.500 0.500 0.500
Au1 0.000 0.000 0.000



(14)
ScHgAu | PBE | optimized geometry

Geometry as CIF:
```
data_ScHgAu
_chemical_formula_sum 'Sc2 Hg2 Au2'
_cell_length_a 3.661
_cell_length_b 3.661
_cell_length_c 9.043
_cell_angle_alpha 90.00
_cell_angle_beta 90.00
_cell_angle_gamma 90.00
_symmetry_space_group_name_H-M 'I 4 m m'
_symmetry_Int_Tables_number 107
_symmetry_space_group_name_Hall 'I 4 -2'
loop_
_atom_site_label
_atom_site_fract_x
_atom_site_fract_y
_atom_site_fract_z
Sc1 0.000 0.000 0.000
Hg1 0.000 0.000 0.673
Au1 0.000 0.000 0.342
```



(15)
Sc2HgAu | PBE | optimized geometry

Geometry as CIF:
```
data_Sc2HgAu
_chemical_formula_sum 'Sc8 Hg4 Au4'
_cell_length_a 6.833
_cell_length_b 6.833
_cell_length_c 6.833
_cell_angle_alpha 90.00
_cell_angle_beta 90.00
_cell_angle_gamma 90.00
_symmetry_space_group_name_H-M 'F -4 3 m'
_symmetry_Int_Tables_number 216
_symmetry_space_group_name_Hall 'F -4 2 3'
loop_
_atom_site_label
_atom_site_fract_x
_atom_site_fract_y
_atom_site_fract_z
Sc1 0.000 0.000 0.000
Sc2 0.250 0.250 0.250
Hg1 0.000 0.000 0.500
Au1 0.250 0.250 0.750
```



(16)
Sc2HgAu | PBE | optimized geometry

Geometry as CIF:
```
data_Sc2HgAu
_chemical_formula_sum 'Sc2 Hg1 Au1'
_cell_length_a 3.494
_cell_length_b 4.873
_cell_length_c 4.874
_cell_angle_alpha 90.00
_cell_angle_beta 90.00
_cell_angle_gamma 90.00
_symmetry_space_group_name_H-M 'P m m 2'
_symmetry_Int_Tables_number 25
_symmetry_space_group_name_Hall 'P 2 -2'
loop_
_atom_site_label
_atom_site_fract_x
_atom_site_fract_y
_atom_site_fract_z
Sc1 0.000 0.000 0.000
Sc2 0.000 0.500 0.497
Hg1 0.500 0.000 0.501
Au1 0.500 0.500 0.995
```



(17)
Sc2Hg3Au | PBE | optimized geometry

Geometry as CIF:
```
data_Sc2Hg3Au
_chemical_formula_sum 'Sc2 Hg3 Au1'
_cell_length_a 3.189
_cell_length_b 4.800
_cell_length_c 8.356
_cell_angle_alpha 90.00
_cell_angle_beta 90.00
_cell_angle_gamma 90.00
_symmetry_space_group_name_H-M 'P m m 2'
_symmetry_Int_Tables_number 25
_symmetry_space_group_name_Hall 'P 2 -2'
loop_
_atom_site_label
_atom_site_fract_x
_atom_site_fract_y
_atom_site_fract_z
Sc1 0.000 0.000 0.000
Sc2 0.000 0.500 0.469
Hg1 0.500 0.000 0.646
Hg2 0.500 0.500 0.151
Hg3 0.500 0.500 0.816
Au1 0.500 0.000 0.316
```



(18)
ScHgAu | PBE | optimized geometry

Geometry as CIF:
```
data_ScHgAu
_chemical_formula_sum 'Sc4 Hg4 Au4'
_cell_length_a 6.590
_cell_length_b 6.590
_cell_length_c 6.590
_cell_angle_alpha 90.00
_cell_angle_beta 90.00
_cell_angle_gamma 90.00
_symmetry_space_group_name_H-M 'F -4 3 m'
_symmetry_Int_Tables_number 216
_symmetry_space_group_name_Hall 'F -4 2 3'
loop_
_atom_site_label
_atom_site_fract_x
_atom_site_fract_y
_atom_site_fract_z
Sc1 0.000 0.000 0.000
Hg1 0.250 0.250 0.250
Au1 0.250 0.250 0.750
```



(19)
Sc6Hg5Au | PBE | optimized geometry

Geometry as CIF:
```
data_Sc6Hg5Au
_chemical_formula_sum 'Sc12 Hg10 Au2'
_cell_length_a 4.948
_cell_length_b 14.877
_cell_length_c 7.005
_cell_angle_alpha 90.00
_cell_angle_beta 90.00
_cell_angle_gamma 90.00
_symmetry_space_group_name_H-M 'C m m m'
_symmetry_Int_Tables_number 65
_symmetry_space_group_name_Hall '-C 2 2'
loop_
_atom_site_label
_atom_site_fract_x
_atom_site_fract_y
_atom_site_fract_z
Sc1 0.000 0.000 0.242
Sc2 0.000 0.337 0.247
Hg1 0.000 0.168 0.500
Hg2 0.000 0.170 0.000
Hg3 0.000 0.500 0.500
Au1 0.000 0.500 0.000
```



(20)
Sc2HgAu | PBE | optimized geometry

Geometry as CIF:
```
data_Sc2HgAu
_chemical_formula_sum 'Sc2 Hg1 Au1'
_cell_length_a 3.484
_cell_length_b 3.484
_cell_length_c 6.839
_cell_angle_alpha 90.00
_cell_angle_beta 90.00
_cell_angle_gamma 90.00
_symmetry_space_group_name_H-M 'P 4/m m m'
_symmetry_Int_Tables_number 123
_symmetry_space_group_name_Hall '-P 4 2'
loop_
_atom_site_label
_atom_site_fract_x
_atom_site_fract_y
_atom_site_fract_z
Sc1 0.000 0.000 0.239
Hg1 0.500 0.500 0.500
Au1 0.500 0.500 0.000
```



no.,uncorrected energy (eV/atom),size of the total moment (μB per formula unit)
1,-2.7248,2.99
2,-3.5058,0.00
3,-2.3020,0.00
4,-2.6876,0.00
5,-2.3054,0.00
6,-2.1844,0.00
7,-2.6447,4.94
8,-4.2275,0.00
9,-4.5467,0.00
10,-4.6737,0.00
11,-4.5325,1.31
12,-3.7542,0.00
13,-4.5036,1.13
14,-3.8266,0.00
15,-4.3794,1.00
16,-4.6619,0.00
17,-3.1672,0.44
18,-3.5650,0.00
19,-4.0516,0.00
20,-4.6778,0.00